A relaxed VIr crystal. Source: the Alexandria database, functional PBE.

a b c (Å): 13.268 11.120 6.646
angles (deg): 90.00 114.41 90.00
Space group C2/m (No. 12)
Symmetry-distinct sites (fractional):
V  0.000  0.114  0.000
V  0.000  0.366  0.000
V  0.134  0.370  0.720
V  0.137  0.120  0.739
V  0.248  0.375  0.491
Ir  0.048  0.500  0.350
Ir  0.053  0.248  0.359
Ir  0.058  0.000  0.370
Ir  0.173  0.500  0.091
Ir  0.180  0.249  0.105
Ir  0.187  0.000  0.122

Properties
Formation energy from the elements: -0.509 eV per atom
Theoretical density: 14.47 Mg/m³
D(E_F): 0.6145 states/eV/atom
Volume: 892.9 Å³/cell

***

A relaxed VIr crystal. Source: the Alexandria database, functional PBE.

a b c (Å): 8.157 8.157 3.613
angles (deg): 90.00 90.00 90.00
Space group I4/mmm (No. 139)
Symmetry-distinct sites (fractional):
V  0.000  0.319  0.000
Ir  0.164  0.164  0.500

Properties
Formation energy from the elements: -0.139 eV per atom
Theoretical density: 13.44 Mg/m³
D(E_F): 0.9183 states/eV/atom
Volume: 240.4 Å³/cell